Entry 1:
Density functional theory data (PBE-GGA) for a relaxed structure of ZrPSCl2.

M_tot in Bohr magnetons per cell: 2.00
E above lowest polymorph in kJ per mole of atoms: 60.9
E_tot in eV for the cell shown: -20.7

Lattice parameters (Å, degrees): 4.6355 4.6355 4.8821 90.00 90.00 90.00
Closest atoms and distances in Å follow each position.
Space group P4/mmm (No. 123)
Symmetry-distinct sites (fractional):
Zr (0.0000, 0.0000, 0.0000) x1  4 S 3.28, 8 Cl 3.37
P (0.5000, 0.5000, 0.5000) x1  4 Cl 2.32, 2 S 2.44
S (0.5000, 0.5000, 0.0000) x1  2 P 2.44
Cl (0.0000, 0.5000, 0.5000) x2  2 P 2.32


Entry 2:
Density functional theory data (PBE-GGA) for a relaxed structure of SbPCl2.

M_tot in Bohr magnetons per cell: 0.00
E above lowest polymorph in kJ per mole of atoms: 56.1
E_tot in eV for the cell shown: -24.9

Lattice parameters (Å, degrees): 3.1977 6.0279 10.0606 90.00 90.00 90.00
Closest atoms and distances in Å follow each position.
Space group Cmm2 (No. 35)
Symmetry-distinct sites (fractional):
Sb (0.0000, 0.0000, 0.0000) x2  2 Cl 2.70, 2 P 2.89
P (0.0000, 0.5000, 0.7605) x2  2 Cl 2.44
Cl (0.0000, 0.0000, 0.5773) x2  2 P 2.44
Cl (0.0000, 0.5000, 0.2158) x2  2 Sb 2.70


Entry 3:
Density functional theory data (PBE-GGA) for a relaxed structure of Sb2PCl.

M_tot in Bohr magnetons per cell: 0.00
E above lowest polymorph in kJ per mole of atoms: 12.8
E_tot in eV for the cell shown: -46.0

Lattice parameters (Å, degrees): 4.4244 4.4244 18.3458 90.00 90.00 120.00
Closest atoms and distances in Å follow each position.
Space group R-3m (No. 166, hexagonal axes)
Symmetry-distinct sites (fractional):
Sb (0.0000, 0.0000, 0.2266) x6  3 P 2.78
P (0.0000, 0.0000, 0.5000) x3  6 Sb 2.78
Cl (0.0000, 0.0000, 0.0000) x3  6 Sb 3.22


Entry 4:
Density functional theory data (PBE-GGA) for a relaxed structure of SbPCl2.

M_tot in Bohr magnetons per cell: 0.00
E above lowest polymorph in kJ per mole of atoms: 62.1
E_tot in eV for the cell shown: -12.2

Lattice parameters (Å, degrees): 3.2964 4.6253 5.5154 90.00 90.00 90.00
Closest atoms and distances in Å follow each position.
Space group Pmmm (No. 47)
Symmetry-distinct sites (fractional):
Sb (0.0000, 0.0000, 0.0000) x1  4 Cl 2.84
P (0.5000, 0.0000, 0.5000) x1  4 Cl 2.84
Cl (0.0000, 0.5000, 0.5000) x1  4 P 2.84
Cl (0.5000, 0.5000, 0.0000) x1  4 Sb 2.84


Entry 5:
Density functional theory data (PBE-GGA) for a relaxed structure of Sb2PCl.

M_tot in Bohr magnetons per cell: 0.00
E above lowest polymorph in kJ per mole of atoms: 18.8
E_tot in eV for the cell shown: -45.2

Lattice parameters (Å, degrees): 3.6132 3.6132 28.6236 90.00 90.00 120.00
Closest atoms and distances in Å follow each position.
Space group R3m (No. 160, hexagonal axes)
Symmetry-distinct sites (fractional):
Sb (0.0000, 0.0000, 0.0000) x3  3 Cl 2.93
Sb (0.0000, 0.0000, 0.2242) x3  3 P 2.56
P (0.0000, 0.0000, 0.5057) x3  3 Sb 2.56
Cl (0.0000, 0.0000, 0.7388) x3  3 Sb 2.93


Entry 6:
Density functional theory data (PBE-GGA) for a relaxed structure of SbP2Cl8.

M_tot in Bohr magnetons per cell: 2.00
E_tot in eV for the cell shown: -71.0

Lattice parameters (Å, degrees): 15.5231 7.2008 9.8025 90.00 125.77 90.00
Closest atoms and distances in Å follow each position.
Space group C2/m (No. 12)
Symmetry-distinct sites (fractional):
Sb (0.0000, 0.0000, 0.0000) x2  2 Cl 2.52
P (0.1633, 0.5000, 0.6736) x4  3 Cl 2.04-2.09
Cl (0.0016, 0.0000, 0.2587) x4  1 Sb 2.52
Cl (0.1527, 0.5000, 0.4562) x4  1 P 2.04
Cl (0.2307, 0.2189, 0.1963) x8  1 P 2.09


Entry 7:
Density functional theory data (PBE-GGA) for a relaxed structure of SbPCl2.

M_tot in Bohr magnetons per cell: 0.00
E above lowest polymorph in kJ per mole of atoms: 86.7
E_tot in eV for the cell shown: -11.2

Lattice parameters (Å, degrees): 3.1012 3.1012 8.8329 90.00 90.00 90.00
Closest atoms and distances in Å follow each position.
Space group P4/mmm (No. 123)
Symmetry-distinct sites (fractional):
Sb (0.0000, 0.0000, 0.0000) x1  4 Sb 3.10, 8 Cl 3.14
P (0.0000, 0.0000, 0.5000) x1  8 Cl 3.08, 4 P 3.10
Cl (0.5000, 0.5000, 0.2547) x2  4 P 3.08, 4 Cl 3.10, 4 Sb 3.14


Entry 8:
Density functional theory data (PBE-GGA) for a relaxed structure of Sb2PCl.

M_tot in Bohr magnetons per cell: 0.00
E above lowest polymorph in kJ per mole of atoms: 10.6
E_tot in eV for the cell shown: -15.4

Lattice parameters (Å, degrees): 3.1155 4.1941 7.7570 90.00 90.39 90.00
Closest atoms and distances in Å follow each position.
Space group P2/m (No. 10)
Symmetry-distinct sites (fractional):
Sb (0.0021, 0.0000, 0.2262) x2  2 P 2.73, 2 Cl 2.98
P (0.0000, 0.5000, 0.0000) x1  4 Sb 2.73
Cl (0.0000, 0.5000, 0.5000) x1  4 Sb 2.98, 2 Cl 3.12


Entry 9:
Density functional theory data (PBE-GGA) for a relaxed structure of SbPCl2.

M_tot in Bohr magnetons per cell: 0.00
E above lowest polymorph in kJ per mole of atoms: 50.4
E_tot in eV for the cell shown: -50.7

Lattice parameters (Å, degrees): 4.3516 4.3516 18.7905 90.00 90.00 90.00
Closest atoms and distances in Å follow each position.
Space group I-42d (No. 122)
Symmetry-distinct sites (fractional):
Sb (0.0000, 0.0000, 0.0000) x4  4 Cl 2.82, 4 P 3.08
P (0.0000, 0.0000, 0.5000) x4  4 Cl 2.80, 4 Sb 3.08
Cl (0.2451, 0.2500, 0.6250) x8  2 P 2.80, 2 Sb 2.82, 4 Cl 3.05-3.11


Entry 10:
Density functional theory data (PBE-GGA) for a relaxed structure of SbPCl2.

M_tot in Bohr magnetons per cell: 0.00
E above lowest polymorph in kJ per mole of atoms: 48.7
E_tot in eV for the cell shown: -38.3

Lattice parameters (Å, degrees): 3.2923 3.2923 28.7124 90.00 90.00 120.00
Closest atoms and distances in Å follow each position.
Space group R-3m (No. 166, hexagonal axes)
Symmetry-distinct sites (fractional):
Sb (0.0000, 0.0000, 0.0000) x3  6 Cl 3.13, 6 Sb 3.29
P (0.0000, 0.0000, 0.5000) x3  2 Cl 2.30
Cl (0.0000, 0.0000, 0.4199) x6  1 P 2.30


Entry 11:
Density functional theory data (PBE-GGA) for a relaxed structure of Sb3P4Cl.

M_tot in Bohr magnetons per cell: 0.00
E_tot in eV for the cell shown: -69.4

Lattice parameters (Å, degrees): 11.5402 7.4476 4.7965 90.00 90.65 90.00
Closest atoms and distances in Å follow each position.
Space group P2/c (No. 13)
Symmetry-distinct sites (fractional):
Sb (0.0000, 0.2345, 0.2500) x2  2 P 2.60
Sb (0.3299, 0.2290, 0.2583) x4  3 P 2.62-2.64
P (0.1648, 0.4733, 0.2430) x4  2 P 2.43, 2 Sb 2.60-2.63
P (0.1911, 0.0071, 0.5135) x4  2 P 2.40, 2 Sb 2.62-2.64
Cl (0.5000, 0.3006, 0.7500) x2  4 Sb 3.10-3.19


Entry 12:
Density functional theory data (PBE-GGA) for a relaxed structure of SbPCl2.

M_tot in Bohr magnetons per cell: 0.00
E above lowest polymorph in kJ per mole of atoms: 33.7
E_tot in eV for the cell shown: -40.1

Lattice parameters (Å, degrees): 3.8554 3.8554 25.3542 90.00 90.00 120.00
Closest atoms and distances in Å follow each position.
Space group R3m (No. 160, hexagonal axes)
Symmetry-distinct sites (fractional):
Sb (0.0000, 0.0000, 0.0000) x3  3 P 2.59
P (0.0000, 0.0000, 0.2810) x3  3 Sb 2.59, 3 Cl 2.84
Cl (0.0000, 0.0000, 0.5449) x3  3 P 2.84
Cl (0.0000, 0.0000, 0.7426) x3  3 Sb 2.94


Entry 13:
Density functional theory data (PBE-GGA) for a relaxed structure of SbPCl.

M_tot in Bohr magnetons per cell: 0.00
E above lowest polymorph in kJ per mole of atoms: 35.4
E_tot in eV for the cell shown: -42.5

Lattice parameters (Å, degrees): 6.6325 6.6325 6.6325 90.00 90.00 90.00
Closest atoms and distances in Å follow each position.
Space group F-43m (No. 216)
Symmetry-distinct sites (fractional):
Sb (0.0000, 0.0000, 0.0000) x4  4 P 2.87
P (0.2500, 0.2500, 0.2500) x4  4 Cl 2.87, 4 Sb 2.87
Cl (0.0000, 0.0000, 0.5000) x4  4 P 2.87


Entry 14:
Density functional theory data (PBE-GGA) for a relaxed structure of Sb2PCl.

M_tot in Bohr magnetons per cell: 0.00
E above lowest polymorph in kJ per mole of atoms: 5.3
E_tot in eV for the cell shown: -15.6

Lattice parameters (Å, degrees): 3.8604 5.3491 5.9032 90.00 107.16 90.00
Closest atoms and distances in Å follow each position.
Space group Pm (No. 6)
Symmetry-distinct sites (fractional):
Sb (0.0000, 0.0000, 0.0000) x1  1 Cl 2.48
Sb (0.4355, 0.5000, 0.2331) x1  2 P 2.58-2.63
P (0.7866, 0.5000, 0.9237) x1  4 Sb 2.58-2.80
Cl (0.1281, 0.0000, 0.6130) x1  1 Sb 2.48